(1)
## La3Ce2ThSe6 (GGA-PBE)

Data for an optimized crystal structure of La3Ce2ThSe6.

Geometry as extended XYZ:
```
12
Lattice="-0.532 5.109 -5.266 -4.148 -6.067 -0.323 -3.452 3.555 5.514" Properties=species:S:1:pos:R:3 pbc="T T T"
La -5.272 -2.431 1.612
La -2.860 5.028 -1.687
La -4.066 1.299 -0.037
Ce -2.943 -2.343 -1.970
Ce -1.737 1.386 -3.619
Th 0.000 0.000 0.000
Se -5.526 3.834 -0.856
Se -4.336 0.149 -2.835
Se -2.606 -1.236 0.782
Se -6.732 0.104 0.793
Se -3.795 2.448 2.760
Se -1.399 2.494 -0.868
```

Crystal system   monoclinic


(2)
## LaCe3Th2Se6 (GGA-PBE)

Data for an optimized crystal structure of LaCe3Th2Se6.

Geometry as extended XYZ:
```
12
Lattice="-1.049 -2.183 -6.872 6.746 1.370 2.387 -1.260 -6.323 3.487" Properties=species:S:1:pos:R:3 pbc="T T T"
La 0.000 0.000 0.000
Ce 4.831 -2.377 2.605
Ce -0.394 -4.759 -3.602
Ce 2.218 -3.568 -0.499
Th 4.150 0.187 -0.697
Th 1.547 -0.999 -3.788
Se 2.004 -5.919 -2.307
Se 3.940 -2.204 -2.472
Se 2.433 -1.217 1.310
Se 4.627 -4.724 0.809
Se 0.496 -4.932 1.474
Se -0.190 -2.412 -1.806
```

Crystal system   monoclinic


(3)
## La4Ce3ThSe8 (GGA-PBE)

Data for an optimized crystal structure of La4Ce3ThSe8.

Geometry as extended XYZ:
```
16
Lattice="-3.124 4.292 6.639 6.148 -3.215 4.971 2.056 4.126 -7.142" Properties=species:S:1:pos:R:3 pbc="T T T"
La -1.562 2.146 3.319
La -0.534 4.209 -0.251
La 0.000 0.000 0.000
La 1.028 2.063 -3.571
Ce 1.512 0.539 5.805
Ce 2.540 2.601 2.234
Ce 4.102 0.456 -1.085
Th 3.074 -1.607 2.486
Se 5.842 2.781 -1.766
Se 4.815 0.721 1.800
Se 1.830 2.339 -0.651
Se 4.282 4.924 1.549
Se 0.798 0.278 2.920
Se 3.249 2.864 5.119
Se 0.265 4.482 2.669
Se -0.762 2.422 6.235
```

Crystal system   trigonal


(4)
## LaCeTh2Se4 (GGA-PBE)

Data for an optimized crystal structure of LaCeTh2Se4.

Geometry as extended XYZ:
```
8
Lattice="4.236 0.000 0.000 0.000 7.281 0.112 0.000 -2.557 6.892" Properties=species:S:1:pos:R:3 pbc="T T T"
La 0.000 0.000 0.000
Ce 2.118 3.640 0.056
Th 2.118 -1.278 3.446
Th 0.000 2.362 3.502
Se 2.118 1.202 1.765
Se 2.118 3.522 5.239
Se 0.000 -0.077 5.199
Se 0.000 4.801 1.806
```

Crystal system   monoclinic


Number 1: uncorrected formation energy -1.86 eV per atom. Number 2: uncorrected formation energy -1.76 eV per atom. Number 3: uncorrected formation energy -1.87 eV per atom. Number 4: uncorrected formation energy -1.72 eV per atom.